Entry 1:
# TbScGaAg

A relaxed structure of TbScGaAg (PBE-GGA, Alexandria via LeMat-Bulk).

* space group: F-43m, No. 216
* theoretical density: 7.24 g/cm3
* calculated total energy: -4.66 eV per atom
* M_tot: 0.00 Bohr magnetons per cell
* formation energy: -0.45 eV per atom

Unit cell a=4.9824 b=4.9824 c=4.9824 alpha=60.00 beta=60.00 gamma=60.00
Element x y z (fractional)
Tb1 0.0000 0.0000 0.0000
Ga1 0.7500 0.7500 0.7500
Sc1 0.5000 0.5000 0.5000
Ag1 0.2500 0.2500 0.2500

Entry 2:
# Sc4TlGa2Ag

A relaxed structure of Sc4TlGa2Ag (PBE-GGA, Alexandria via LeMat-Bulk).

* space group: R-3m, No. 166
* theoretical density: 6.39 g/cm3
* calculated total energy: -4.99 eV per atom
* M_tot: 0.00 Bohr magnetons per cell
* formation energy: -0.42 eV per atom

Unit cell a=4.8653 b=4.8653 c=8.4784 alpha=73.33 beta=73.33 gamma=60.00
Element x y z (fractional)
Sc1 0.3778 0.3778 0.8666
Sc2 0.6222 0.6222 0.1334
Sc3 0.8731 0.8731 0.3806
Sc4 0.1269 0.1269 0.6194
Ga1 0.2467 0.2467 0.2600
Ga2 0.7533 0.7533 0.7400
Tl1 0.0000 0.0000 0.0000
Ag1 0.5000 0.5000 0.5000

Entry 3:
# ScGaAgW2

A relaxed structure of ScGaAgW2 (PBE-GGA, Alexandria via LeMat-Bulk).

* space group: P4/mmm, No. 123
* theoretical density: 9.34 g/cm3
* calculated total energy: -6.26 eV per atom
* M_tot: 0.00 Bohr magnetons per cell
* formation energy: 1.37 eV per atom

Unit cell a=4.6523 b=4.8506 c=4.6523 alpha=90.00 beta=90.00 gamma=90.00
Element x y z (fractional)
Ag1 0.5000 0.5000 0.5000
Sc1 0.0000 0.5000 0.0000
W1 0.0000 0.0000 0.5000
W2 0.5000 0.0000 0.0000
Ga1 0.0000 0.0000 0.0000

Entry 4:
# Sc4ZnGaAg2

A relaxed structure of Sc4ZnGaAg2 (PBE-GGA, Alexandria via LeMat-Bulk).

* space group: R-3m, No. 166
* theoretical density: 5.60 g/cm3
* calculated total energy: -4.80 eV per atom
* M_tot: 0.00 Bohr magnetons per cell
* formation energy: -0.39 eV per atom

Unit cell a=4.8088 b=4.8088 c=8.3369 alpha=73.24 beta=73.24 gamma=60.00
Element x y z (fractional)
Ag1 0.7517 0.7517 0.7448
Ag2 0.2483 0.2483 0.2552
Zn1 0.5000 0.5000 0.5000
Sc1 0.3749 0.3749 0.8753
Sc2 0.8751 0.8751 0.3747
Sc3 0.1249 0.1249 0.6253
Sc4 0.6251 0.6251 0.1247
Ga1 0.0000 0.0000 0.0000

Entry 5:
# ZrScGaAg

A relaxed structure of ZrScGaAg (PBE-GGA, Alexandria via LeMat-Bulk).

* space group: F-43m, No. 216
* theoretical density: 6.59 g/cm3
* calculated total energy: -5.53 eV per atom
* M_tot: 0.82 Bohr magnetons per cell
* formation energy: -0.34 eV per atom

Unit cell a=4.8177 b=4.8177 c=4.8177 alpha=60.00 beta=60.00 gamma=60.00
Last column: magnetic moment on the atom in μB.
Element x y z (fractional)
Zr1 0.0000 0.0000 0.0000  0.31
Ga1 0.7500 0.7500 0.7500  -0.02
Sc1 0.5000 0.5000 0.5000  0.24
Ag1 0.2500 0.2500 0.2500  0.03

Entry 6:
# Ga12Ag3Se5

A relaxed structure of Ga12Ag3Se5 (PBE-GGA, Alexandria via LeMat-Bulk).

* space group: Ia-3d, No. 230
* theoretical density: 5.38 g/cm3
* calculated total energy: -3.17 eV per atom
* M_tot: 0.00 Bohr magnetons per cell
* formation energy from raw total energies: -0.059 eV/atom

Unit cell a=13.5604 b=13.5604 c=13.5604 alpha=109.47 beta=109.47 gamma=109.47
Element x y z (fractional)
Ga1 0.4313 0.7646 0.8551
Ga2 0.7354 0.5905 0.1667
Ga3 0.1667 0.0762 0.9313
Ga4 0.8333 0.9238 0.0687
Ga5 0.4238 0.0687 0.3333
Ga6 0.4095 0.1449 0.5762
Ga7 0.9238 0.0905 0.8551
Ga8 0.5905 0.7354 0.6667
Ga9 0.5762 0.6449 0.4095
Ga10 0.1449 0.4095 0.0762
Ga11 0.6667 0.4313 0.5762
Ga12 0.6667 0.2354 0.5905
Ga13 0.2354 0.6667 0.0905
Ga14 0.3333 0.7646 0.4095
Ga15 0.5687 0.2354 0.1449
Ga16 0.0762 0.1667 0.4313
Ga17 0.2354 0.5687 0.6449
Ga18 0.0687 0.4238 0.8333
Ga19 0.5762 0.9313 0.6667
Ga20 0.5687 0.3333 0.9238
Ga21 0.1667 0.0905 0.7354
Ga22 0.7646 0.3333 0.9095
Ga23 0.9313 0.3551 0.2646
Ga24 0.2646 0.4095 0.8333
Ga25 0.9238 0.8333 0.5687
Ga26 0.9313 0.5762 0.1667
Ga27 0.6449 0.0687 0.2354
Ga28 0.1449 0.7354 0.5687
Ga29 0.7354 0.1449 0.0687
Ga30 0.0687 0.6449 0.7354
Ga31 0.4095 0.2646 0.3333
Ga32 0.7646 0.4313 0.3551
Ga33 0.3551 0.4238 0.0905
Ga34 0.0905 0.9238 0.3551
Ga35 0.9095 0.8333 0.7646
Ga36 0.5905 0.8551 0.4238
Ga37 0.0905 0.1667 0.2354
Ga38 0.4313 0.6667 0.0762
Ga39 0.6449 0.5762 0.9095
Ga40 0.3333 0.5687 0.4238
Ga41 0.0762 0.9095 0.1449
Ga42 0.8551 0.5905 0.9238
Ga43 0.8551 0.2646 0.4313
Ga44 0.9095 0.0762 0.6449
Ga45 0.2646 0.8551 0.9313
Ga46 0.8333 0.9095 0.2646
Ga47 0.4238 0.3551 0.5905
Ga48 0.3551 0.9313 0.7646
Se1 0.0000 0.5000 0.5000
Se2 0.1250 0.7500 0.3750
Se3 0.0000 0.0000 0.0000
Se4 0.0000 0.0000 0.5000
Se5 0.3750 0.2500 0.1250
Se6 0.5000 0.5000 0.0000
Se7 0.6250 0.7500 0.8750
Se8 0.7500 0.1250 0.8750
Se9 0.5000 0.5000 0.5000
Se10 0.2500 0.8750 0.1250
Se11 0.8750 0.2500 0.6250
Se12 0.8750 0.6250 0.7500
Se13 0.5000 0.0000 0.0000
Se14 0.0000 0.5000 0.0000
Se15 0.6250 0.8750 0.2500
Se16 0.7500 0.6250 0.3750
Se17 0.3750 0.1250 0.7500
Se18 0.1250 0.3750 0.2500
Se19 0.5000 0.0000 0.5000
Se20 0.2500 0.3750 0.6250
Ag1 0.6250 0.2500 0.3750
Ag2 0.2500 0.1250 0.3750
Ag3 0.7500 0.8750 0.6250
Ag4 0.8750 0.1250 0.2500
Ag5 0.1250 0.8750 0.7500
Ag6 0.8750 0.7500 0.1250
Ag7 0.3750 0.6250 0.2500
Ag8 0.6250 0.3750 0.7500
Ag9 0.3750 0.7500 0.6250
Ag10 0.2500 0.6250 0.8750
Ag11 0.7500 0.3750 0.1250
Ag12 0.1250 0.2500 0.8750